TmThHg4 PBE optimized geometry; Fermi-level density of states = 0.555 states/eV per atom; formation enthalpy at 0 K = -0.30 eV/atom; SG = P2/m (10); raw total energy = -2.480 eV per atom
1.0
3.395 0.000 0.000
0.000 5.002 0.000
-0.024 0.000 8.708
Tm Th Hg
1 1 4
Direct
0.000 0.000 0.000 Tm
0.000 0.500 0.500 Th
0.495 0.500 0.162 Hg
0.498 0.000 0.673 Hg
0.502 0.000 0.327 Hg
0.505 0.500 0.838 Hg